Arrangement w

A plane-wave DFT calculation with PBE with a Hubbard U was carried out for a relaxed structure of MnCIO2.

Computed properties:
For the total moment, the calculation gives 0.0 μB per cell. The density of states at the Fermi level is 1.254 states/eV per atom. Its crystal system is tetragonal.

a = 3.519 Å, b = 3.519 Å, c = 6.422 Å
α = 90.00°, β = 90.00°, γ = 90.00°
Site moments in Bohr magnetons follow the coordinates.
Element x y z (fractional)
I1 0.000 0.000 0.500  0.00
C1 0.500 0.500 0.500  0.00
Mn1 0.000 0.000 0.000  -0.05
O1 0.000 0.500 0.000  0.02
O2 0.500 0.000 0.000  0.02

=====

Arrangement x

A plane-wave DFT calculation with PBE with a Hubbard U was carried out for a relaxed structure of MnCIO2.

Computed properties:
For the total moment, the calculation gives 4.8 μB per cell. The density of states at the Fermi level is 0.543 states/eV per atom. Its crystal system is tetragonal.

a = 3.907 Å, b = 3.907 Å, c = 4.430 Å
α = 90.00°, β = 90.00°, γ = 90.00°
Site moments in Bohr magnetons follow the coordinates.
Element x y z (fractional)
I1 0.000 0.000 0.500  0.00
C1 0.000 0.000 0.000  -0.04
Mn1 0.500 0.500 0.500  4.58
O1 0.000 0.500 0.000  0.03
O2 0.500 0.000 0.000  0.03

=====

It is arrangement w that is the least stable of them.